No. 1
Computed, not measured: a relaxed TbInHgTe3 crystal at the GGA-PBE level of DFT.

## Properties
Crystal system = orthorhombic
Polymorph energy (0 for the lowest one) = 19 meV/atom
Final energy = -84.3 eV/cell
Space-group type = Pnma (62)

Lattice parameters (Å, degrees): 11.5544 4.4464 15.1009 90.00 90.00 90.00
Last column: nearest neighbours and their distance in Å.
Sites, in units of the cell vectors:
Tb 0.0144 0.2500 0.2467  6 Te 3.13-3.20
Tb 0.4856 0.7500 0.7467  6 Te 3.13-3.20
Tb 0.5144 0.2500 0.2533  6 Te 3.13-3.20
Tb 0.9856 0.7500 0.7533  6 Te 3.13-3.20
In 0.2288 0.7500 0.5122  7 Te 3.44-3.60, 2 Hg 3.82
In 0.2712 0.2500 0.0122  7 Te 3.44-3.60, 2 Hg 3.82
In 0.7288 0.7500 0.9878  7 Te 3.44-3.60, 2 Hg 3.82
In 0.7712 0.2500 0.4878  7 Te 3.44-3.60, 2 Hg 3.82
Hg 0.2411 0.2500 0.7179  4 Te 2.82-2.89
Hg 0.2589 0.7500 0.2179  4 Te 2.82-2.89
Hg 0.7411 0.2500 0.7821  4 Te 2.82-2.89
Hg 0.7589 0.7500 0.2821  4 Te 2.82-2.89
Te 0.0369 0.2500 0.6123  1 Hg 2.85, 2 Tb 3.13
Te 0.0634 0.7500 0.1056  1 Hg 2.82, 2 Tb 3.13
Te 0.2370 0.7500 0.8402  2 Hg 2.89, 2 Tb 3.19-3.20
Te 0.2630 0.2500 0.3402  2 Hg 2.89, 2 Tb 3.19-3.20
Te 0.4366 0.2500 0.6056  1 Hg 2.82, 2 Tb 3.13
Te 0.4631 0.7500 0.1123  1 Hg 2.85, 2 Tb 3.13
Te 0.5369 0.2500 0.8877  1 Hg 2.85, 2 Tb 3.13
Te 0.5634 0.7500 0.3944  1 Hg 2.82, 2 Tb 3.13
Te 0.7370 0.7500 0.6598  2 Hg 2.89, 2 Tb 3.19-3.20
Te 0.7630 0.2500 0.1598  2 Hg 2.89, 2 Tb 3.19-3.20
Te 0.9366 0.2500 0.8944  1 Hg 2.82, 2 Tb 3.13
Te 0.9631 0.7500 0.3877  1 Hg 2.85, 2 Tb 3.13



No. 2
Computed, not measured: a relaxed LiZnCu2 crystal at the GGA-PBE level of DFT.

## Properties
Crystal system = cubic
Final energy = -11.0 eV/cell
Space-group type = F-43m (216)

Lattice parameters (Å, degrees): 4.1304 4.1304 4.1304 60.00 60.00 60.00
Last column: nearest neighbours and their distance in Å.
Sites, in units of the cell vectors:
Li 0.0000 0.0000 0.0000  4 Zn 2.53, 4 Cu 2.53
Zn 0.7500 0.7500 0.7500  4 Li 2.53, 4 Cu 2.53
Cu 0.2500 0.2500 0.2500  4 Li 2.53, 4 Cu 2.53
Cu 0.5000 0.5000 0.5000  4 Cu 2.53, 4 Zn 2.53



No. 3
Computed, not measured: a relaxed YEr2Cu4Sn4 crystal at the GGA-PBE level of DFT.

## Properties
Crystal system = orthorhombic
Final energy = -52.0 eV/cell
Space-group type = Immm (71)

Lattice parameters (Å, degrees): 8.4066 8.4066 8.4066 149.30 131.14 58.82
Last column: nearest neighbours and their distance in Å.
Sites, in units of the cell vectors:
Y 0.0000 0.0000 0.0000  6 Sn 3.04-3.17
Er 0.3697 0.8697 0.5000  6 Sn 3.16-3.25, 6 Cu 3.16-3.18
Er 0.6303 0.1303 0.5000  6 Sn 3.16-3.25, 6 Cu 3.16-3.18
Cu 0.0171 0.3282 0.6890  4 Sn 2.63-2.71, 1 Cu 2.63
Cu 0.3608 0.6718 0.6890  4 Sn 2.63-2.71, 1 Cu 2.63
Cu 0.6392 0.3282 0.3110  4 Sn 2.63-2.71, 1 Cu 2.63
Cu 0.9829 0.6718 0.3110  4 Sn 2.63-2.71, 1 Cu 2.63
Sn 0.2165 0.2165 0.0000  6 Cu 2.67-2.71
Sn 0.2972 0.5000 0.7972  2 Cu 2.63, 1 Sn 2.82
Sn 0.7028 0.5000 0.2028  2 Cu 2.63, 1 Sn 2.82
Sn 0.7835 0.7835 0.0000  6 Cu 2.67-2.71



No. 4
Computed, not measured: a relaxed InNi3As crystal at the GGA-PBE level of DFT.

## Properties
Crystal system = trigonal
Polymorph energy (0 for the lowest one) = 19 meV/atom
Final energy = -50.3 eV/cell
Space-group type = R-3 (148)

Lattice parameters (Å, degrees): 7.2981 7.2981 7.2981 40.39 40.39 40.39
Last column: nearest neighbours and their distance in Å.
Sites, in units of the cell vectors:
In 0.1687 0.1687 0.1687  6 Ni 2.65-2.69, 3 In 2.91
In 0.8313 0.8313 0.8313  6 Ni 2.65-2.69, 3 In 2.91
Ni 0.0903 0.1270 0.6175  3 As 2.44-2.62, 6 Ni 2.48-2.63, 2 In 2.65-2.69
Ni 0.1270 0.6175 0.0903  3 As 2.44-2.62, 6 Ni 2.48-2.63, 2 In 2.65-2.69
Ni 0.3825 0.9097 0.8730  3 As 2.44-2.62, 6 Ni 2.48-2.63, 2 In 2.65-2.69
Ni 0.6175 0.0903 0.1270  3 As 2.44-2.62, 6 Ni 2.48-2.63, 2 In 2.65-2.69
Ni 0.8730 0.3825 0.9097  3 As 2.44-2.62, 6 Ni 2.48-2.63, 2 In 2.65-2.69
Ni 0.9097 0.8730 0.3825  3 As 2.44-2.62, 6 Ni 2.48-2.63, 2 In 2.65-2.69
As 0.3765 0.3765 0.3765  9 Ni 2.44-2.62
As 0.6235 0.6235 0.6235  9 Ni 2.44-2.62



No. 5
Computed, not measured: a relaxed SmCuMo crystal at the GGA-PBE level of DFT.

## Properties
Calculated formation energy = 1.342 eV per atom
Crystal system = cubic
Polymorph energy (0 for the lowest one) = 312 meV/atom
Final energy = -15.2 eV/cell
Space-group type = F-43m (216)

Lattice parameters (Å, degrees): 4.6346 4.6346 4.6346 60.00 60.00 60.00
Last column: nearest neighbours and their distance in Å.
Sites, in units of the cell vectors:
Sm 0.0000 0.0000 0.0000  4 Cu 2.84, 4 Mo 2.84
Cu 0.7500 0.7500 0.7500  4 Sm 2.84
Mo 0.2500 0.2500 0.2500  4 Sm 2.84



No. 6
Computed, not measured: a relaxed DyTm2In3Ir2 crystal at the GGA-PBE level of DFT.

## Properties
Crystal system = orthorhombic
Final energy = -44.7 eV/cell
Space-group type = Amm2 (38)

Lattice parameters (Å, degrees): 3.6257 7.5944 7.5944 120.16 90.00 90.00
Last column: nearest neighbours and their distance in Å.
Sites, in units of the cell vectors:
Dy 0.0000 0.0000 0.0000  4 Ir 2.92, 2 In 3.18
Tm 0.0000 0.1559 0.5783  4 Ir 2.89-2.90, 2 In 3.17
Tm 0.0000 0.5783 0.1559  4 Ir 2.89-2.90, 2 In 3.17
In 0.5000 0.3445 0.3445  2 Ir 2.99, 2 In 3.08, 2 Dy 3.18, 4 Tm 3.32
In 0.5000 0.5772 0.8133  2 Ir 2.95-2.98, 2 In 3.08-3.11, 2 Tm 3.17
In 0.5000 0.8133 0.5772  2 Ir 2.95-2.98, 2 In 3.08-3.11, 2 Tm 3.17
Ir 0.5000 0.2470 0.9112  4 Tm 2.89-2.90, 2 Dy 2.92, 3 In 2.95-2.99
Ir 0.5000 0.9112 0.2470  4 Tm 2.89-2.90, 2 Dy 2.92, 3 In 2.95-2.99



What is the formula in the fifth record?
SmCuMo